DFT (GGA+U) results for a relaxed structure of La2CoHgO.

Cell: 4.8440 5.1778 4.8440 Å, 90.00 90.00 90.00°
Fractional positions:
La (0.5000, 0.0000, 0.0000)
La (0.0000, 0.0000, 0.5000)
Hg (0.0000, 0.5000, 0.0000)
Co (0.5000, 0.5000, 0.5000)
O (0.0000, 0.0000, 0.0000)

## Properties
Space-group type ... P4/mmm, No. 123
Relative energy among the computed polymorphs ... 0.0000 eV per atom
DOS at the Fermi energy ... 0.815 states/eV per atom